Er2MnGa5: optimized geometry, PBE-GGA.

Geometry as POSCAR:
```
Er2MnGa5
1.0
-4.9454 2.5855 -1.9844
2.6431 -3.8697 -3.6220
-0.5778 -3.7770 4.5255
Ga Mn Er
5 1 2
Direct
0.5651 0.2967 0.2967 Ga
0.0000 0.2967 0.7317 Ga
0.4349 0.7317 0.7317 Ga
0.0000 0.2383 0.2383 Ga
0.0000 0.7317 0.2967 Ga
0.0000 0.8990 0.8990 Mn
0.5000 0.7640 0.2640 Er
0.5000 0.2640 0.7640 Er
```

## Properties
total magnetic moment: 0.394 μB per atom
final energy: -36.44 eV/cell
crystal system: tetragonal